A relaxed structure of YFeO3. Source: the Alexandria database, functional PBE with a Hubbard U.

Cell and atoms, written as extended XYZ:
```
20
Lattice="5.6537 0.0000 0.0000 0.0000 7.7296 0.0000 0.0000 0.0000 5.3483" Properties=species:S:1:pos:R:3 pbc="T T T"
Y 0.3843 1.9324 0.1023
Y 2.4426 5.7972 2.7764
Y 3.2112 1.9324 2.5718
Y 5.2694 5.7972 5.2460
Fe 0.0000 0.0000 2.6741
Fe 0.0000 3.8648 2.6741
Fe 2.8269 0.0000 0.0000
Fe 2.8269 3.8648 0.0000
O 0.2444 5.7972 2.0539
O 1.1038 4.3266 4.3172
O 1.1038 7.2679 4.3172
O 1.7230 0.4617 1.6431
O 1.7230 3.4031 1.6431
O 2.5824 1.9324 4.7281
O 3.0713 5.7972 0.6202
O 3.9307 4.3266 3.7051
O 3.9307 7.2679 3.7051
O 4.5499 0.4617 1.0310
O 4.5499 3.4031 1.0310
O 5.4093 1.9324 3.2943
```

theoretical density: 5478 kg/m³
final energy: -7.92 eV per atom